Model w:
CsLiF2 | SCAN | PBEsol geometry

Lattice parameters (Å, degrees): 5.6721 5.6721 5.6721 96.90 116.10 116.10
Last column: nearest neighbours and their distance in Å.
Atoms (fractional coordinates):
1 Cs 0.0000 0.0000 0.0000  8 F 2.96-3.26
2 Cs 0.5000 0.7500 0.2500  8 F 2.96-3.26
3 Li 0.0000 0.5000 0.5000  4 F 1.88
4 Li 0.5000 0.2500 0.7500  4 F 1.88
5 F 0.8558 0.4808 0.1250  2 Li 1.88
6 F 0.1442 0.2692 0.6250  2 Li 1.88
7 F 0.6442 0.3750 0.5192  2 Li 1.88
8 F 0.3558 0.8750 0.7308  2 Li 1.88

Magnetization in Bohr magnetons per cell: 0.0

Model x:
CsLiF2 | SCAN | PBEsol geometry

Lattice parameters (Å, degrees): 5.9637 6.5100 8.0269 87.93 85.48 62.74
Last column: nearest neighbours and their distance in Å.
Atoms (fractional coordinates):
1 Cs 0.1455 0.1829 0.5677  7 F 2.92-3.19
2 Cs 0.6716 0.1829 0.9323  7 F 2.92-3.19
3 Cs 0.8545 0.8171 0.4323  7 F 2.92-3.19
4 Cs 0.3284 0.8171 0.0677  7 F 2.92-3.19
5 Li 0.0461 0.3978 0.1399  4 F 1.83-1.89
6 Li 0.9539 0.6022 0.8601  4 F 1.83-1.89
7 Li 0.4439 0.6022 0.6399  4 F 1.83-1.89
8 Li 0.5561 0.3978 0.3601  4 F 1.83-1.89
9 F 0.8737 0.2527 0.2500  2 Li 1.85
10 F 0.6792 0.6417 0.7500  2 Li 1.83
11 F 0.1263 0.7473 0.7500  2 Li 1.85
12 F 0.3208 0.3583 0.2500  2 Li 1.83
13 F 0.4227 0.7128 0.4197  2 Li 1.88-1.89
14 F 0.8645 0.7128 0.0803  2 Li 1.88-1.89
15 F 0.5773 0.2872 0.5803  2 Li 1.88-1.89
16 F 0.1355 0.2872 0.9197  2 Li 1.88-1.89

Magnetization in Bohr magnetons per cell: 0.3

In terms of stability, model x leads; the second structure lies 5.1 kJ/mol of atoms higher.

Model w:
Cs2SbF5 | SCAN | PBEsol geometry

Lattice parameters (Å, degrees): 6.4975 8.9445 11.6804 90.00 90.00 90.00
Last column: nearest neighbours and their distance in Å.
Atoms (fractional coordinates):
1 Cs 0.7500 0.4953 0.2657  7 F 2.88-3.18
2 Cs 0.2500 0.5047 0.7343  7 F 2.88-3.18
3 Cs 0.2500 0.0047 0.7657  7 F 2.88-3.18
4 Cs 0.7500 0.9953 0.2343  7 F 2.88-3.18
5 Cs 0.7500 0.8172 0.5778  2 F 2.94-2.97
6 Cs 0.2500 0.1828 0.4222  2 F 2.94-2.97
7 Cs 0.2500 0.6828 0.0778  2 F 2.94-2.97
8 Cs 0.7500 0.3172 0.9222  2 F 2.94-2.97
9 Sb 0.7500 0.8314 0.9319  3 F 2.04-2.05
10 Sb 0.2500 0.1686 0.0681  3 F 2.04-2.05
11 Sb 0.2500 0.6686 0.4319  3 F 2.04-2.05
12 Sb 0.7500 0.3314 0.5681  3 F 2.04-2.05
13 F 0.7500 0.6111 0.0355  1 Sb 2.31
14 F 0.2500 0.3889 0.9645  1 Sb 2.31
15 F 0.2500 0.8889 0.5355  1 Sb 2.31
16 F 0.7500 0.1111 0.4645  1 Sb 2.31
17 F 0.5208 0.7364 0.8363  1 Sb 2.05
18 F 0.4792 0.2636 0.1637  1 Sb 2.05
19 F 0.4792 0.7636 0.3363  1 Sb 2.05
20 F 0.0208 0.2636 0.1637  1 Sb 2.05
21 F 0.5208 0.2364 0.6637  1 Sb 2.05
22 F 0.9792 0.7364 0.8363  1 Sb 2.05
23 F 0.9792 0.2364 0.6637  1 Sb 2.05
24 F 0.0208 0.7636 0.3363  1 Sb 2.05
25 F 0.5000 0.0000 0.0000  2 Sb 2.36
26 F 0.5000 0.5000 0.5000  2 Sb 2.36
27 F 0.0000 0.0000 0.0000  2 Sb 2.36
28 F 0.0000 0.5000 0.5000  2 Sb 2.36
29 F 0.7500 0.9796 0.7997  1 Sb 2.04
30 F 0.2500 0.0204 0.2003  1 Sb 2.04
31 F 0.2500 0.5204 0.2997  1 Sb 2.04
32 F 0.7500 0.4796 0.7003  1 Sb 2.04

Magnetization in Bohr magnetons per cell: 0.0

Model x:
Cs2SbF5 | SCAN | PBEsol geometry

Lattice parameters (Å, degrees): 6.6122 7.0709 7.8709 90.00 114.84 90.00
Last column: nearest neighbours and their distance in Å.
Atoms (fractional coordinates):
1 Cs 0.2415 0.2500 0.4830  10 F 3.09-3.33
2 Cs 0.7585 0.7500 0.5170  10 F 3.09-3.33
3 Cs 0.5580 0.2500 0.1161  5 F 2.90-3.05
4 Cs 0.4420 0.7500 0.8839  5 F 2.90-3.05
5 Sb 0.9100 0.2500 0.8199  5 F 1.98-2.10
6 Sb 0.0900 0.7500 0.1801  5 F 1.98-2.10
7 F 0.1093 0.0471 0.7692  1 Sb 2.10
8 F 0.8907 0.9529 0.2308  1 Sb 2.10
9 F 0.8907 0.5471 0.2308  1 Sb 2.10
10 F 0.6599 0.4529 0.7692  1 Sb 2.10
11 F 0.1093 0.4529 0.7692  1 Sb 2.10
12 F 0.3401 0.5471 0.2308  1 Sb 2.10
13 F 0.3401 0.9529 0.2308  1 Sb 2.10
14 F 0.6599 0.0471 0.7692  1 Sb 2.10
15 F 0.7714 0.2500 0.5428  1 Sb 1.98
16 F 0.2286 0.7500 0.4572  1 Sb 1.98

Magnetization in Bohr magnetons per cell: 0.0

In terms of stability, model x leads; the second structure lies 7.0 kJ/mol of atoms higher.

Model w:
CsTlF2 | SCAN | PBEsol geometry

Lattice parameters (Å, degrees): 6.3334 6.3334 7.5202 114.90 114.90 90.00
Last column: nearest neighbours and their distance in Å.
Atoms (fractional coordinates):
1 Cs 0.7500 0.2500 0.5000  4 F 2.83
2 Cs 0.5000 0.5000 0.0000  4 F 2.83
3 Tl 0.2500 0.7500 0.5000  4 F 2.58
4 Tl 0.0000 0.0000 0.0000  4 F 2.58
5 F 0.3419 0.8750 0.2500  2 Tl 2.58, 2 Cs 2.83
6 F 0.9081 0.3750 0.2500  2 Tl 2.58, 2 Cs 2.83
7 F 0.1250 0.0919 0.7500  2 Tl 2.58, 2 Cs 2.83
8 F 0.6250 0.6581 0.7500  2 Tl 2.58, 2 Cs 2.83

Magnetization in Bohr magnetons per cell: 0.0

Model x:
CsTlF2 | SCAN | PBEsol geometry

Lattice parameters (Å, degrees): 4.2483 4.2483 8.4006 75.35 75.35 60.00
Last column: nearest neighbours and their distance in Å.
Atoms (fractional coordinates):
1 Cs 0.5000 0.5000 0.5000  6 F 2.95
2 Tl 0.0000 0.0000 0.0000  2 F 2.37
3 F 0.9016 0.9016 0.2951  1 Tl 2.37
4 F 0.0984 0.0984 0.7049  1 Tl 2.37

Magnetization in Bohr magnetons per cell: 0.0

In terms of stability, model w leads; the second structure lies 13.3 kJ/mol of atoms higher.

Model w:
CsFeP2 | SCAN | PBEsol geometry

Lattice parameters (Å, degrees): 4.8631 4.8631 4.8631 60.00 60.00 60.00
Last column: nearest neighbours and their distance in Å.
Atoms (fractional coordinates):
1 Cs 0.5000 0.5000 0.5000  8 P 2.98
2 P 0.2500 0.2500 0.2500  4 Fe 2.98, 4 Cs 2.98
3 P 0.7500 0.7500 0.7500  4 Cs 2.98, 4 Fe 2.98
4 Fe 0.0000 0.0000 0.0000  8 P 2.98

Magnetization in Bohr magnetons per cell: 3.5

Model x:
CsFeP2 | SCAN | PBEsol geometry

Lattice parameters (Å, degrees): 5.8716 5.8716 7.1426 114.27 114.27 90.00
Last column: nearest neighbours and their distance in Å.
Atoms (fractional coordinates):
1 Cs 0.0000 0.0000 0.0000  8 P 3.59
2 Cs 0.2500 0.7500 0.5000  8 P 3.59
3 P 0.6250 0.3750 0.7500  2 Fe 2.07
4 P 0.1250 0.3750 0.7500  2 Fe 2.07
5 P 0.6250 0.8750 0.2500  2 Fe 2.07
6 P 0.6250 0.3750 0.2500  2 Fe 2.07
7 Fe 0.5000 0.5000 0.0000  4 P 2.07
8 Fe 0.7500 0.2500 0.5000  4 P 2.07

Magnetization in Bohr magnetons per cell: 2.0

In terms of stability, model x leads; the second structure lies 130.3 kJ/mol of atoms higher.

Model w:
CsGeSeN2 | SCAN | PBEsol geometry

Lattice parameters (Å, degrees): 4.1967 4.1967 6.0755 90.00 90.00 90.00
Last column: nearest neighbours and their distance in Å.
Atoms (fractional coordinates):
1 Cs 0.0000 0.0000 0.5000  4 Ge 2.97, 2 Se 3.04
2 Ge 0.5000 0.5000 0.5000  4 Cs 2.97
3 Se 0.0000 0.0000 0.0000  4 N 2.10
4 N 0.0000 0.5000 0.0000  2 Se 2.10
5 N 0.5000 0.0000 0.0000  2 Se 2.10

Magnetization in Bohr magnetons per cell: 1.5

Model x:
CsGeSeN2 | SCAN | PBEsol geometry

Lattice parameters (Å, degrees): 4.2618 4.2618 6.7143 90.00 90.00 90.00
Last column: nearest neighbours and their distance in Å.
Atoms (fractional coordinates):
1 Cs 0.0000 0.0000 0.0000  4 N 2.13
2 Ge 0.5000 0.5000 0.5000  4 Se 3.01
3 Se 0.0000 0.0000 0.5000  4 Ge 3.01, 2 Cs 3.36
4 N 0.0000 0.5000 0.0000  2 Cs 2.13
5 N 0.5000 0.0000 0.0000  2 Cs 2.13

Magnetization in Bohr magnetons per cell: 1.8

In terms of stability, model w leads; the second structure lies 31.2 kJ/mol of atoms higher.

Model w:
CsGePS2 | SCAN | PBEsol geometry

Lattice parameters (Å, degrees): 5.2898 5.2898 5.2680 90.00 90.00 90.00
Last column: nearest neighbours and their distance in Å.
Atoms (fractional coordinates):
1 Cs 0.0000 0.0000 0.0000  2 P 2.63, 4 S 2.64
2 P 0.0000 0.0000 0.5000  2 Cs 2.63
3 Ge 0.5000 0.5000 0.5000  8 S 3.73, 4 P 3.74
4 S 0.0000 0.5000 0.0000  2 Cs 2.64
5 S 0.5000 0.0000 0.0000  2 Cs 2.64

Magnetization in Bohr magnetons per cell: 0.0

Model x:
CsGePS2 | SCAN | PBEsol geometry

Lattice parameters (Å, degrees): 4.7617 4.9704 4.9704 90.00 90.00 90.00
Last column: nearest neighbours and their distance in Å.
Atoms (fractional coordinates):
1 Cs 0.5000 0.5000 0.5000  8 S 3.44, 4 P 3.51
2 P 0.5000 0.0000 0.0000  2 Ge 2.38
3 Ge 0.0000 0.0000 0.0000  2 P 2.38, 4 S 2.49
4 S 0.0000 0.0000 0.5000  2 Ge 2.49
5 S 0.0000 0.5000 0.0000  2 Ge 2.49

Magnetization in Bohr magnetons per cell: 1.4

In terms of stability, model x leads; the second structure lies 162.1 kJ/mol of atoms higher.